A geometry-optimized AgCl2 structure, computed with PBE.

E	-2.48	eV per atom
DOS at the Fermi energy	11.9	states/eV per cell
magnetic moment	0.094	μB per atom
raw formation energy	-0.3008	eV per atom

Lattice parameters (Å, degrees): 3.6686 7.8022 12.3440 90.00 90.00 90.00
Space group Fmmm (No. 69)
One atom of each set of equivalent atoms:
Ag1 0.0000 0.0000 0.0000 x4
Cl1 0.0000 0.0000 0.3667 x8